A relaxed structure of NdY. Source: Alexandria, functional PBE.

a b c (Å): 3.6996 5.8112 6.3679
angles (deg): 90.00 90.04 90.00
Last column: nearest neighbours and their distance in Å.
Element x y z (fractional)
Y (0.0008, 0.7500, 0.3347)  4 Y 3.59-3.70, 8 Nd 3.60-3.69
Y (0.9992, 0.2500, 0.6653)  4 Y 3.59-3.70, 8 Nd 3.60-3.69
Nd (0.4998, 0.2500, 0.1673)  4 Nd 3.60-3.70, 8 Y 3.60-3.69
Nd (0.5002, 0.7500, 0.8327)  4 Nd 3.60-3.70, 8 Y 3.60-3.69

Output
DOS at the Fermi energy   7.07 states/eV/cell
Polymorph energy (0 for the lowest one)   5 meV per atom
VASP energy   -5.596 eV/atom
Space group   No. 11

***

A relaxed structure of K2LaIr. Source: Alexandria, functional PBE.

a b c (Å): 6.7470 6.7470 3.6260
angles (deg): 90.00 90.00 130.14
Last column: nearest neighbours and their distance in Å.
Element x y z (fractional)
K (0.0000, 0.0000, 0.0000)  2 K 2.84
K (0.5000, 0.5000, 0.0000)  2 K 2.84
Ir (0.0000, 0.5000, 0.5000)  2 La 2.84
La (0.5000, 0.0000, 0.5000)  2 Ir 2.84

Output
DOS at the Fermi energy   3.10 states/eV/cell
Polymorph energy (0 for the lowest one)   763 meV per atom
VASP energy   -3.313 eV/atom
Space group   No. 65

***

A relaxed structure of TaCrCo2. Source: Alexandria, functional PBE.

a b c (Å): 3.5628 2.6608 5.9377
angles (deg): 63.23 90.00 90.00
Last column: nearest neighbours and their distance in Å.
Element x y z (fractional)
Ta (0.5000, 0.7500, 0.7500)  8 Co 2.65, 2 Cr 2.65, 2 Ta 2.66
Co (0.0000, 0.9778, 0.0223)  3 Co 2.41-2.66, 4 Cr 2.53, 4 Ta 2.65
Co (0.0000, 0.5222, 0.4777)  3 Co 2.41-2.66, 4 Cr 2.53, 4 Ta 2.65
Cr (0.5000, 0.2500, 0.2500)  8 Co 2.53, 2 Ta 2.65, 2 Cr 2.66

Output
DOS at the Fermi energy   4.36 states/eV/cell
Polymorph energy (0 for the lowest one)   41 meV per atom
VASP energy   -8.920 eV/atom
Space group   No. 10

***

A relaxed structure of ReHg3O. Source: Alexandria, functional PBE.

a b c (Å): 5.3941 5.3941 5.3941
angles (deg): 90.00 90.00 90.00
Last column: nearest neighbours and their distance in Å.
Element x y z (fractional)
Hg (0.0000, 0.5000, 0.0000)  2 Re 2.70
Hg (0.5000, 0.0000, 0.0000)  2 Re 2.70
Hg (0.0000, 0.0000, 0.5000)  2 Re 2.70
O (0.5000, 0.5000, 0.5000)  12 Hg 3.81
Re (0.0000, 0.0000, 0.0000)  6 Hg 2.70

Output
DOS at the Fermi energy   6.56 states/eV/cell
Formation energy (no corrections)   123.86 kJ/mol of atoms
Polymorph energy (0 for the lowest one)   89 meV per atom
VASP energy   -2.379 eV/atom
Space group   No. 221

***

A relaxed structure of TaHg3Br. Source: Alexandria, functional PBE.

a b c (Å): 5.4903 5.4903 5.4903
angles (deg): 90.00 90.00 90.00
Last column: nearest neighbours and their distance in Å.
Element x y z (fractional)
Ta (0.0000, 0.0000, 0.0000)  6 Hg 2.75
Br (0.5000, 0.5000, 0.5000)  12 Hg 3.88
Hg (0.5000, 0.0000, 0.0000)  2 Ta 2.75
Hg (0.0000, 0.5000, 0.0000)  2 Ta 2.75
Hg (0.0000, 0.0000, 0.5000)  2 Ta 2.75

Output
DOS at the Fermi energy   4.74 states/eV/cell
Formation energy (no corrections)   66.21 kJ/mol of atoms
Polymorph energy (0 for the lowest one)   0 meV per atom
VASP energy   -2.200 eV/atom
Space group   No. 221

***

A relaxed structure of CuSnPd. Source: Alexandria, functional PBE.

a b c (Å): 3.2680 3.2680 10.3706
angles (deg): 99.07 99.07 90.00
Last column: nearest neighbours and their distance in Å.
Element x y z (fractional)
Sn (0.5736, 0.5736, 0.1472)  4 Pd 2.75, 1 Sn 2.98, 1 Cu 2.98
Sn (0.4264, 0.4264, 0.8528)  4 Pd 2.75, 1 Sn 2.98, 1 Cu 2.98
Pd (0.1473, 0.1473, 0.2947)  5 Cu 2.66-2.75, 4 Sn 2.75
Pd (0.8527, 0.8527, 0.7053)  5 Cu 2.66-2.75, 4 Sn 2.75
Cu (0.2789, 0.2789, 0.5577)  4 Cu 2.59, 5 Pd 2.66-2.75
Cu (0.7211, 0.7211, 0.4423)  4 Cu 2.59, 5 Pd 2.66-2.75

Output
DOS at the Fermi energy   2.86 states/eV/cell
Polymorph energy (0 for the lowest one)   56 meV per atom
VASP energy   -4.631 eV/atom
Space group   No. 139

***

> Which value of DOS at the Fermi energy does entry 2 give?

3.10 states/eV/cell

***

> What is the formula in the first record?

NdY

***

> Which formula does entry 1 have?

NdY